10
Lattice="4.190 -5.731 0.000 4.190 5.731 0.000 0.000 0.000 7.222" Properties=species:S:1:pos:R:3 comment="LaYErTm2 | the Alexandria database | PBE | optimized geometry" formation_enthalpy_0k_ev_per_atom=0.37 spacegroup=Cmcm pbc="T T T"
La 4.190 3.066 5.416
La 4.190 -3.066 1.805
Y 4.190 0.054 1.805
Y 4.190 -0.054 5.416
Er 4.190 3.274 1.805
Er 4.190 -3.274 5.416
Tm 1.579 0.000 0.000
Tm 1.579 0.000 3.611
Tm 6.801 0.000 0.000
Tm 6.801 0.000 3.611